Here is a geometry-optimized RbMnPbCl6 structure from the Alexandria database. Energies are from GGA-PBE.

Cell lengths 7.0616, 7.0574, 7.0149 Å; angles 89.02, 90.97, 61.46 degrees
Last column: nearest neighbours and their distance in Å.
Sites, in units of the cell vectors:
Pb (0.6812, 0.6809, 0.4992)  6 Cl 2.75-3.07
Cl (0.5935, 0.3404, 0.6965)  1 Mn 2.29
Cl (0.0308, 0.6174, 0.7239)  1 Mn 2.68, 1 Pb 2.75
Cl (0.3377, 0.5952, 0.3041)  1 Mn 2.29
Cl (0.6189, 0.0325, 0.2768)  1 Mn 2.67, 1 Pb 2.75
Cl (0.3443, 0.0562, 0.6903)  1 Mn 2.32
Cl (0.0574, 0.3418, 0.3100)  1 Mn 2.33
Mn (0.3343, 0.3339, 0.5000)  4 Cl 2.29-2.33
Rb (0.0016, 0.0018, 0.9989)  6 Cl 3.28-3.43

## Properties
Raw formation energy = -1259 meV/atom
Uncorrected energy = -4.028 eV per atom

=====

Here is a geometry-optimized RbMn2PbCl8 structure from the Alexandria database. Energies are from GGA-PBE.

Cell lengths 6.7717, 6.7717, 9.7441 Å; angles 90.00, 90.00, 120.00 degrees
Last column: nearest neighbours and their distance in Å.
Sites, in units of the cell vectors:
Cl (0.6655, 0.6749, 0.6876)  1 Mn 2.31
Cl (0.3251, 0.9906, 0.6876)  1 Mn 2.31
Cl (0.6667, 0.3333, 0.0196)  1 Mn 2.22
Cl (0.6749, 0.0094, 0.3124)  1 Mn 2.31
Cl (0.3333, 0.6667, 0.9804)  1 Mn 2.22
Cl (0.9906, 0.6655, 0.3124)  1 Mn 2.31
Cl (0.0094, 0.3345, 0.6876)  1 Mn 2.31
Cl (0.3345, 0.3251, 0.3124)  1 Mn 2.31
Mn (0.6667, 0.3333, 0.2476)  4 Cl 2.22-2.31
Mn (0.3333, 0.6667, 0.7524)  4 Cl 2.22-2.31
Pb (0.0000, 0.0000, 0.5000)  6 Cl 2.89
Rb (0.0000, 0.0000, 0.0000)  12 Cl 3.78-3.91

## Properties
Raw formation energy = -1179 meV/atom
Uncorrected energy = -4.328 eV per atom

=====

Here is a geometry-optimized MnSnPbCl6 structure from the Alexandria database. Energies are from GGA-PBE.

Cell lengths 6.9775, 6.9775, 12.2497 Å; angles 90.00, 90.00, 120.00 degrees
Last column: nearest neighbours and their distance in Å.
Sites, in units of the cell vectors:
Mn (0.3333, 0.6667, 0.7500)  6 Cl 2.55
Mn (0.6667, 0.3333, 0.2500)  6 Cl 2.55
Cl (0.6349, 0.9602, 0.8710)  1 Mn 2.55
Cl (0.9602, 0.6349, 0.3710)  1 Mn 2.55
Cl (0.3651, 0.3253, 0.3710)  1 Mn 2.55
Cl (0.6349, 0.6747, 0.6290)  1 Mn 2.55
Cl (0.3253, 0.3651, 0.8710)  1 Mn 2.55
Cl (0.9602, 0.3253, 0.1290)  1 Mn 2.55
Cl (0.3253, 0.9602, 0.6290)  1 Mn 2.55
Cl (0.0398, 0.6747, 0.8710)  1 Mn 2.55
Cl (0.6747, 0.0398, 0.3710)  1 Mn 2.55
Cl (0.0398, 0.3651, 0.6290)  1 Mn 2.55
Cl (0.6747, 0.6349, 0.1290)  1 Mn 2.55
Cl (0.3651, 0.0398, 0.1290)  1 Mn 2.55
Sn (0.0000, 0.0000, 0.0000)  6 Cl 2.89
Sn (0.0000, 0.0000, 0.5000)  6 Cl 2.89
Pb (0.6667, 0.3333, 0.7500)  6 Cl 2.91
Pb (0.3333, 0.6667, 0.2500)  6 Cl 2.91

## Properties
Raw formation energy = -1060 meV/atom
Uncorrected energy = -4.167 eV per atom

=====

Here is a geometry-optimized MnSn2PbCl8 structure from the Alexandria database. Energies are from GGA-PBE.

Cell lengths 6.6612, 6.3982, 8.4641 Å; angles 90.08, 90.55, 89.15 degrees
Last column: nearest neighbours and their distance in Å.
Sites, in units of the cell vectors:
Cl (0.6601, 0.7237, 0.5184)  1 Sn 2.71, 1 Pb 2.90
Cl (0.3035, 0.2464, 0.0200)  1 Mn 2.59, 1 Sn 2.71
Cl (0.1748, 0.7982, 0.7806)  1 Mn 2.54
Cl (0.6965, 0.7536, 0.9800)  1 Mn 2.59, 1 Sn 2.71
Cl (0.8252, 0.2018, 0.2194)  1 Mn 2.54
Cl (0.8544, 0.2298, 0.7777)  1 Mn 2.56
Cl (0.3399, 0.2763, 0.4816)  1 Sn 2.71, 1 Pb 2.90
Cl (0.1456, 0.7702, 0.2223)  1 Mn 2.56
Pb (0.0000, 0.0000, 0.5000)  6 Cl 2.90-2.94
Mn (0.0000, 0.0000, 0.0000)  6 Cl 2.54-2.59
Sn (0.4883, 0.4927, 0.2355)  4 Cl 2.71-2.90
Sn (0.5117, 0.5073, 0.7645)  4 Cl 2.71-2.90

## Properties
Raw formation energy = -1038 meV/atom
Uncorrected energy = -4.009 eV per atom